La6PSe2S3 after structural relaxation. Source: Alexandria, functional PBE-GGA.

Calculated values
E_tot ... -6.566 eV per atom
Calculated density ... 5.8 g/cm3
Crystal system ... monoclinic
DOS at the Fermi energy ... 0.406 states/eV per atom
Uncorrected formation energy ... -2.039 eV/atom
Volume ... 26.76 Å³ per atom

Unit cell a=4.2151 b=8.4948 c=9.4444 alpha=102.76 beta=102.89 gamma=90.00
Closest atoms and distances in Å follow each position.
Fractional coordinates of all 12 atoms:
Se 0.1676 0.3353 0.3353  6 La 3.05-3.06
Se 0.8324 0.6647 0.6647  6 La 3.05-3.06
La 0.3354 0.9276 0.6707  3 S 2.93-3.01, 1 P 2.95, 2 Se 3.06
La 0.6646 0.0724 0.3293  3 S 2.93-3.01, 1 P 2.95, 2 Se 3.06
La 0.9972 0.2446 0.9944  3 S 2.96-3.02, 2 P 2.97, 1 Se 3.06
La 0.3378 0.4074 0.6756  3 S 2.91-2.92, 3 Se 3.05
La 0.6622 0.5926 0.3244  3 S 2.91-2.92, 3 Se 3.05
La 0.0028 0.7554 0.0056  3 S 2.96-3.02, 2 P 2.97, 1 Se 3.06
S 0.8324 0.1663 0.6648  6 La 2.92-3.01
S 0.5000 0.5000 0.0000  6 La 2.91-3.02
S 0.1676 0.8337 0.3352  6 La 2.92-3.01
P 0.5000 0.0000 0.0000  6 La 2.95-2.97